The following is a GGA-PBE calculation of a geometry-optimized Tl3SbPb12 structure, from Alexandria.

Lattice parameters (Å, degrees): 6.012 6.012 14.012 90.00 90.00 90.00
Positions (direct):
Pb1 0.000 0.500 0.623
Tl1 0.000 0.000 0.500
Pb2 0.500 0.500 0.000
Pb3 0.000 0.500 0.377
Pb4 0.500 0.500 0.500
Sb1 0.000 0.000 0.000
Tl2 0.000 0.000 0.749
Pb5 0.000 0.500 0.118
Pb6 0.500 0.000 0.118
Pb7 0.000 0.500 0.882
Pb8 0.500 0.500 0.251
Pb9 0.500 0.000 0.882
Pb10 0.500 0.500 0.749
Pb11 0.500 0.000 0.377
Tl3 0.000 0.000 0.251
Pb12 0.500 0.000 0.623

SG: No. 123
ρ, Mg/m³: 10.560
ΔE_f (raw), meV/atom: 45.8

=====

The following is a GGA-PBE calculation of a geometry-optimized Li2LaIr structure, from Alexandria.

Lattice parameters (Å, degrees): 3.598 3.598 5.699 90.00 90.00 90.00
Positions (direct):
La1 0.500 0.500 0.750
Li1 0.000 0.000 0.065
Li2 0.000 0.000 0.435
Ir1 0.500 0.500 0.250

Excess energy over the best structure of this formula in the dataset, eV/atom: 0.297
SG: No. 123
ρ, Mg/m³: 7.766
Energy of formation from the pure elements, eV per atom: -0.0420

=====

The following is a GGA-PBE calculation of a geometry-optimized ErPaZn2 structure, from Alexandria.

Lattice parameters (Å, degrees): 4.990 4.990 4.990 60.00 60.00 60.00
Positions (direct):
Zn1 0.750 0.750 0.750
Pa1 0.500 0.500 0.500
Er1 0.000 0.000 0.000
Zn2 0.250 0.250 0.250

Excess energy over the best structure of this formula in the dataset, eV/atom: 0.062
SG: No. 225
ρ, Mg/m³: 10.000
Energy of formation from the pure elements, eV per atom: -0.0583

=====

Magnetic moment / μB per atom: 0.0000, 0.0000, 0.0000